Here is crystalline Ba2PAu at its relaxed geometry from Alexandria. Energies are from PBE-GGA.

Summary:
**Total DFT energy (no corrections)**: -15.72 eV/cell
**Formation energy from the elements**: -0.80 eV/atom
**N(E_F)**: 1.81 states/eV/f.u.

Cell: 4.0222 3.9178 8.9514 Å, 64.09 90.00 90.00°
With the nearest neighbours (Å) after each atom.
Fractional coordinates of all 4 atoms:
Au  0.5000  0.7500  0.7500  8 Ba 3.60, 4 Au 3.92-4.02, 2 P 4.03
P  0.5000  0.2500  0.2500  8 Ba 3.32
Ba  0.0000  0.5295  0.4704  4 P 3.32, 1 Ba 3.55, 4 Au 3.60
Ba  0.0000  0.9705  0.0296  4 P 3.32, 1 Ba 3.55, 4 Au 3.60